(1)
This record from Alexandria via LeMat-Bulk describes an optimized crystal structure of V2FePt9. The functional is PBE.

Computed properties:
The magnetic moment comes out at 6.63 μB per cell. Its density of states at the Fermi level is 13.591 states/eV/f.u. The space-group type is P4/mmm (123). As for the formation energy: -4.57 eV/f.u. The uncorrected energy is -85.640 eV/cell.

CIF file:
```
data_V2FePt9
_chemical_formula_sum 'V2 Fe1 Pt9'
_symmetry_space_group_name_H-M 'P 1'
_symmetry_Int_Tables_number 1
_symmetry_space_group_name_Hall 'P 1'
_cell_length_a 3.9154
_cell_length_b 3.9154
_cell_length_c 11.7750
_cell_angle_alpha 90.00
_cell_angle_beta 90.00
_cell_angle_gamma 90.00
loop_
_atom_site_label
_atom_site_fract_x
_atom_site_fract_y
_atom_site_fract_z
V1 0.0000 0.0000 0.1701
V2 0.0000 0.0000 0.8299
Fe1 0.0000 0.0000 0.5000
Pt1 0.0000 0.5000 0.0000
Pt2 0.0000 0.5000 0.3318
Pt3 0.0000 0.5000 0.6682
Pt4 0.5000 0.0000 0.0000
Pt5 0.5000 0.0000 0.3318
Pt6 0.5000 0.0000 0.6682
Pt7 0.5000 0.5000 0.1657
Pt8 0.5000 0.5000 0.5000
Pt9 0.5000 0.5000 0.8343
```

=====

(2)
This record from Alexandria via LeMat-Bulk describes an optimized crystal structure of CeTmScZn. The functional is PBE.

Computed properties:
The magnetic moment comes out at 5.84 μB per cell. Its density of states at the Fermi level is 5.791 states/eV/f.u. The space-group type is F-43m (216). As for the formation energy: 0.04 eV/f.u. The uncorrected energy is -71.873 eV/cell.

CIF file:
```
data_CeTmScZn
_chemical_formula_sum 'Ce4 Tm4 Sc4 Zn4'
_symmetry_space_group_name_H-M 'P 1'
_symmetry_Int_Tables_number 1
_symmetry_space_group_name_Hall 'P 1'
_cell_length_a 7.3407
_cell_length_b 7.3407
_cell_length_c 7.3407
_cell_angle_alpha 90.00
_cell_angle_beta 90.00
_cell_angle_gamma 90.00
loop_
_atom_site_label
_atom_site_fract_x
_atom_site_fract_y
_atom_site_fract_z
Ce1 0.0000 0.0000 0.0000
Ce2 0.0000 0.5000 0.5000
Ce3 0.5000 0.0000 0.5000
Ce4 0.5000 0.5000 0.0000
Tm1 0.0000 0.0000 0.5000
Tm2 0.0000 0.5000 0.0000
Tm3 0.5000 0.0000 0.0000
Tm4 0.5000 0.5000 0.5000
Sc1 0.2500 0.2500 0.7500
Sc2 0.2500 0.7500 0.2500
Sc3 0.7500 0.2500 0.2500
Sc4 0.7500 0.7500 0.7500
Zn1 0.2500 0.2500 0.2500
Zn2 0.2500 0.7500 0.7500
Zn3 0.7500 0.2500 0.7500
Zn4 0.7500 0.7500 0.2500
```

=====

(3)
This record from Alexandria via LeMat-Bulk describes an optimized crystal structure of TcIrO3. The functional is PBE.

Computed properties:
The magnetic moment comes out at 3.94 μB per cell. Its density of states at the Fermi level is 4.276 states/eV/f.u. The space-group type is Pm-3m (221). The formation energy from raw total energies comes out at 0.2030 eV/atom. The uncorrected energy is -33.086 eV/cell.

CIF file:
```
data_TcIrO3
_chemical_formula_sum 'Tc1 Ir1 O3'
_symmetry_space_group_name_H-M 'P 1'
_symmetry_Int_Tables_number 1
_symmetry_space_group_name_Hall 'P 1'
_cell_length_a 3.9198
_cell_length_b 3.9198
_cell_length_c 3.9198
_cell_angle_alpha 90.00
_cell_angle_beta 90.00
_cell_angle_gamma 90.00
loop_
_atom_site_label
_atom_site_fract_x
_atom_site_fract_y
_atom_site_fract_z
Tc1 0.0000 0.0000 0.0000
Ir1 0.5000 0.5000 0.5000
O1 0.0000 0.5000 0.5000
O2 0.5000 0.0000 0.5000
O3 0.5000 0.5000 0.0000
```

=====

(4)
This record from Alexandria via LeMat-Bulk describes an optimized crystal structure of HoTmP2Ir5. The functional is PBE.

Computed properties:
The magnetic moment comes out at 0.00 μB per cell. Its density of states at the Fermi level is 5.613 states/eV/f.u. The space-group type is P4/mmm (123). As for the formation energy: -5.52 eV/f.u. The uncorrected energy is -69.691 eV/cell.

CIF file:
```
data_HoTmP2Ir5
_chemical_formula_sum 'Ho1 Tm1 P2 Ir5'
_symmetry_space_group_name_H-M 'P 1'
_symmetry_Int_Tables_number 1
_symmetry_space_group_name_Hall 'P 1'
_cell_length_a 3.9914
_cell_length_b 3.9914
_cell_length_c 11.0276
_cell_angle_alpha 90.00
_cell_angle_beta 90.00
_cell_angle_gamma 90.00
loop_
_atom_site_label
_atom_site_fract_x
_atom_site_fract_y
_atom_site_fract_z
Ho1 0.0000 0.0000 0.0000
Tm1 0.0000 0.0000 0.5000
P1 0.5000 0.5000 0.2066
P2 0.5000 0.5000 0.7934
Ir1 0.0000 0.5000 0.3065
Ir2 0.0000 0.5000 0.6935
Ir3 0.5000 0.0000 0.3065
Ir4 0.5000 0.0000 0.6935
Ir5 0.5000 0.5000 0.0000
```

=====

(5)
This record from Alexandria via LeMat-Bulk describes an optimized crystal structure of ZrTcSe2. The functional is PBE.

Computed properties:
The magnetic moment comes out at 0.00 μB per cell. Its density of states at the Fermi level is 2.628 states/eV/f.u. The space-group type is P4/mmm (123). The formation energy from raw total energies comes out at -0.4911 eV/atom. The uncorrected energy is -27.847 eV/cell.

CIF file:
```
data_ZrTcSe2
_chemical_formula_sum 'Zr1 Tc1 Se2'
_symmetry_space_group_name_H-M 'P 1'
_symmetry_Int_Tables_number 1
_symmetry_space_group_name_Hall 'P 1'
_cell_length_a 4.5571
_cell_length_b 4.5571
_cell_length_c 3.2748
_cell_angle_alpha 90.00
_cell_angle_beta 90.00
_cell_angle_gamma 90.00
loop_
_atom_site_label
_atom_site_fract_x
_atom_site_fract_y
_atom_site_fract_z
Zr1 0.0000 0.0000 0.0000
Tc1 0.5000 0.5000 0.0000
Se1 0.0000 0.5000 0.5000
Se2 0.5000 0.0000 0.5000
```

=====

(6)
This record from Alexandria via LeMat-Bulk describes an optimized crystal structure of MoOsRh. The functional is PBE.

Computed properties:
The magnetic moment comes out at 0.00 μB per cell. Its density of states at the Fermi level is 2.210 states/eV/f.u. The space-group type is Pnma (62). As for the formation energy: -0.20 eV/f.u. The uncorrected energy is -118.442 eV/cell.

CIF file:
```
data_MoOsRh
_chemical_formula_sum 'Mo4 Os4 Rh4'
_symmetry_space_group_name_H-M 'P 1'
_symmetry_Int_Tables_number 1
_symmetry_space_group_name_Hall 'P 1'
_cell_length_a 5.5287
_cell_length_b 3.8733
_cell_length_c 8.2490
_cell_angle_alpha 90.00
_cell_angle_beta 90.00
_cell_angle_gamma 90.00
loop_
_atom_site_label
_atom_site_fract_x
_atom_site_fract_y
_atom_site_fract_z
Mo1 0.1366 0.2500 0.0906
Mo2 0.3634 0.7500 0.5906
Mo3 0.6366 0.2500 0.4094
Mo4 0.8634 0.7500 0.9094
Os1 0.1218 0.2500 0.7542
Os2 0.3782 0.7500 0.2542
Os3 0.6218 0.2500 0.7458
Os4 0.8782 0.7500 0.2458
Rh1 0.1265 0.2500 0.4180
Rh2 0.3735 0.7500 0.9180
Rh3 0.6265 0.2500 0.0820
Rh4 0.8735 0.7500 0.5820
```

=====

(7)
This record from Alexandria via LeMat-Bulk describes an optimized crystal structure of Ga2GePb. The functional is PBE.

Computed properties:
The magnetic moment comes out at 0.00 μB per cell. Its density of states at the Fermi level is 1.442 states/eV/f.u. The space-group type is R-3m (166). As for the formation energy: 0.43 eV/f.u. The uncorrected energy is -41.841 eV/cell.

CIF file:
```
data_Ga2GePb
_chemical_formula_sum 'Ga6 Ge3 Pb3'
_symmetry_space_group_name_H-M 'P 1'
_symmetry_Int_Tables_number 1
_symmetry_space_group_name_Hall 'P 1'
_cell_length_a 3.9056
_cell_length_b 3.9056
_cell_length_c 21.1354
_cell_angle_alpha 90.00
_cell_angle_beta 90.00
_cell_angle_gamma 120.00
loop_
_atom_site_label
_atom_site_fract_x
_atom_site_fract_y
_atom_site_fract_z
Ga1 0.0000 0.0000 0.2317
Ga2 0.0000 0.0000 0.7683
Ga3 0.3333 0.6667 0.4349
Ga4 0.3333 0.6667 0.8984
Ga5 0.6667 0.3333 0.1016
Ga6 0.6667 0.3333 0.5651
Ge1 0.0000 0.0000 0.5000
Ge2 0.3333 0.6667 0.1667
Ge3 0.6667 0.3333 0.8333
Pb1 0.0000 0.0000 0.0000
Pb2 0.3333 0.6667 0.6667
Pb3 0.6667 0.3333 0.3333
```

=====

(8)
This record from Alexandria via LeMat-Bulk describes an optimized crystal structure of Rb2Na4Se. The functional is PBE.

Computed properties:
The magnetic moment comes out at 0.00 μB per cell. Its density of states at the Fermi level is 4.359 states/eV/f.u. The space-group type is I4/mmm (139). The formation energy from raw total energies comes out at -0.3277 eV/atom. The uncorrected energy is -25.979 eV/cell.

CIF file:
```
data_Rb2Na4Se
_chemical_formula_sum 'Rb4 Na8 Se2'
_symmetry_space_group_name_H-M 'P 1'
_symmetry_Int_Tables_number 1
_symmetry_space_group_name_Hall 'P 1'
_cell_length_a 5.6351
_cell_length_b 5.6351
_cell_length_c 24.1698
_cell_angle_alpha 90.00
_cell_angle_beta 90.00
_cell_angle_gamma 90.00
loop_
_atom_site_label
_atom_site_fract_x
_atom_site_fract_y
_atom_site_fract_z
Rb1 0.0000 0.0000 0.1904
Rb2 0.0000 0.0000 0.8096
Rb3 0.5000 0.5000 0.3096
Rb4 0.5000 0.5000 0.6904
Na1 0.0000 0.0000 0.3814
Na2 0.0000 0.0000 0.6186
Na3 0.0000 0.5000 0.0000
Na4 0.0000 0.5000 0.5000
Na5 0.5000 0.0000 0.0000
Na6 0.5000 0.0000 0.5000
Na7 0.5000 0.5000 0.1186
Na8 0.5000 0.5000 0.8814
Se1 0.0000 0.0000 0.5000
Se2 0.5000 0.5000 0.0000
```

=====

(9)
This record from Alexandria via LeMat-Bulk describes an optimized crystal structure of Y5Mn4. The functional is PBE.

Computed properties:
The magnetic moment comes out at 12.54 μB per cell. Its density of states at the Fermi level is 10.054 states/eV/f.u. The space-group type is I4/mmm (139). As for the formation energy: 3.23 eV/f.u. The uncorrected energy is -65.768 eV/cell.

CIF file:
```
data_Y5Mn4
_chemical_formula_sum 'Y5 Mn4'
_symmetry_space_group_name_H-M 'P 1'
_symmetry_Int_Tables_number 1
_symmetry_space_group_name_Hall 'P 1'
_cell_length_a 7.0438
_cell_length_b 7.0438
_cell_length_c 7.0438
_cell_angle_alpha 96.60
_cell_angle_beta 96.60
_cell_angle_gamma 140.36
loop_
_atom_site_label
_atom_site_fract_x
_atom_site_fract_y
_atom_site_fract_z
Y1 0.0000 0.0000 0.0000
Y2 0.3227 0.3227 0.6454
Y3 0.3227 0.6773 0.0000
Y4 0.6773 0.3227 0.0000
Y5 0.6773 0.6773 0.3546
Mn1 0.0000 0.3560 0.3560
Mn2 0.0000 0.6440 0.6440
Mn3 0.3560 0.0000 0.3560
Mn4 0.6440 0.0000 0.6440
```

=====

(10)
This record from Alexandria via LeMat-Bulk describes an optimized crystal structure of LiDyAlGa2. The functional is PBE.

Computed properties:
The magnetic moment comes out at 0.00 μB per cell. Its density of states at the Fermi level is 1.431 states/eV/f.u. The space-group type is I-4m2 (119). As for the formation energy: -2.36 eV/f.u. The uncorrected energy is -37.338 eV/cell.

CIF file:
```
data_LiDyAlGa2
_chemical_formula_sum 'Li2 Dy2 Al2 Ga4'
_symmetry_space_group_name_H-M 'P 1'
_symmetry_Int_Tables_number 1
_symmetry_space_group_name_Hall 'P 1'
_cell_length_a 4.1168
_cell_length_b 4.1168
_cell_length_c 11.1039
_cell_angle_alpha 90.00
_cell_angle_beta 90.00
_cell_angle_gamma 90.00
loop_
_atom_site_label
_atom_site_fract_x
_atom_site_fract_y
_atom_site_fract_z
Li1 0.0000 0.0000 0.0000
Li2 0.5000 0.5000 0.5000
Dy1 0.0000 0.5000 0.2500
Dy2 0.5000 0.0000 0.7500
Al1 0.0000 0.0000 0.5000
Al2 0.5000 0.5000 0.0000
Ga1 0.0000 0.5000 0.6395
Ga2 0.0000 0.5000 0.8605
Ga3 0.5000 0.0000 0.1395
Ga4 0.5000 0.0000 0.3605
```

=====

(11)
This record from Alexandria via LeMat-Bulk describes an optimized crystal structure of MgIrPd2. The functional is PBE.

Computed properties:
The magnetic moment comes out at 0.00 μB per cell. Its density of states at the Fermi level is 2.930 states/eV/f.u. The space-group type is P4/mmm (123). As for the formation energy: -1.05 eV/f.u. The uncorrected energy is -21.890 eV/cell.

CIF file:
```
data_MgIrPd2
_chemical_formula_sum 'Mg1 Ir1 Pd2'
_symmetry_space_group_name_H-M 'P 1'
_symmetry_Int_Tables_number 1
_symmetry_space_group_name_Hall 'P 1'
_cell_length_a 4.6424
_cell_length_b 4.6424
_cell_length_c 2.8555
_cell_angle_alpha 90.00
_cell_angle_beta 90.00
_cell_angle_gamma 90.00
loop_
_atom_site_label
_atom_site_fract_x
_atom_site_fract_y
_atom_site_fract_z
Mg1 0.0000 0.0000 0.0000
Ir1 0.5000 0.5000 0.0000
Pd1 0.0000 0.5000 0.5000
Pd2 0.5000 0.0000 0.5000
```

=====

(12)
This record from Alexandria via LeMat-Bulk describes an optimized crystal structure of LaPm5Pr12. The functional is PBE.

Computed properties:
The magnetic moment comes out at 0.00 μB per cell. Its density of states at the Fermi level is 31.248 states/eV/f.u. The space-group type is C2/m (12). As for the formation energy: 1.72 eV/f.u. The uncorrected energy is -84.318 eV/cell.

CIF file:
```
data_LaPm5Pr12
_chemical_formula_sum 'La1 Pm5 Pr12'
_symmetry_space_group_name_H-M 'P 1'
_symmetry_Int_Tables_number 1
_symmetry_space_group_name_Hall 'P 1'
_cell_length_a 10.7211
_cell_length_b 10.7211
_cell_length_c 6.1590
_cell_angle_alpha 90.06
_cell_angle_beta 90.06
_cell_angle_gamma 113.91
loop_
_atom_site_label
_atom_site_fract_x
_atom_site_fract_y
_atom_site_fract_z
La1 0.0000 0.0000 0.0000
Pm1 0.1730 0.8270 0.5000
Pm2 0.3255 0.6745 0.0000
Pm3 0.5000 0.5000 0.5000
Pm4 0.6745 0.3255 0.0000
Pm5 0.8270 0.1730 0.5000
Pr1 0.0157 0.3455 0.9402
Pr2 0.1572 0.4863 0.4411
Pr3 0.1676 0.1676 0.5323
Pr4 0.3363 0.3363 0.0309
Pr5 0.3455 0.0157 0.9402
Pr6 0.4863 0.1572 0.4411
Pr7 0.5137 0.8428 0.5589
Pr8 0.6545 0.9843 0.0598
Pr9 0.6637 0.6637 0.9691
Pr10 0.8324 0.8324 0.4677
Pr11 0.8428 0.5137 0.5589
Pr12 0.9843 0.6545 0.0598
```